A relaxed Y4Tm3Th2 crystal, computed with PBE.

Output
Distance to the lowest polymorph of the same formula in kJ/mol of atoms: 0.0
Formation enthalpy at 0 K in eV per formula unit: 1.05

Cell lengths 9.9660, 9.9660, 6.1052 Å; angles 96.05, 96.05, 71.66 degrees
Positions (direct):
Y: 0.0876 0.8123 0.9826
Y: 0.1492 0.4183 0.1535
Y: 0.1877 0.9124 0.5174
Y: 0.4183 0.1492 0.6535
Y: 0.5817 0.8508 0.3465
Y: 0.8123 0.0876 0.4826
Y: 0.8508 0.5817 0.8465
Y: 0.9124 0.1877 0.0174
Tm: 0.0613 0.2744 0.5845
Tm: 0.2744 0.0613 0.0845
Tm: 0.3924 0.6076 0.2500
Tm: 0.6076 0.3924 0.7500
Tm: 0.7256 0.9387 0.9155
Tm: 0.9387 0.7256 0.4155
Th: 0.2497 0.5272 0.6855
Th: 0.4728 0.7503 0.8145
Th: 0.5272 0.2497 0.1855
Th: 0.7503 0.4728 0.3145

=====

A relaxed Y8Tm3Th crystal, computed with PBE.

Output
Formation enthalpy at 0 K in eV per formula unit: 0.35

Cell lengths 6.1577, 6.1577, 10.6633 Å; angles 90.16, 90.16, 109.54 degrees
Positions (direct):
Y: 0.0002 0.0002 0.1640
Y: 0.9998 0.9998 0.8360
Y: 0.9999 0.4996 0.3349
Y: 0.0001 0.5004 0.6651
Y: 0.4996 0.9999 0.3349
Y: 0.5004 0.0001 0.6651
Y: 0.5000 0.5000 0.1667
Y: 0.5000 0.5000 0.8333
Tm: 0.0000 0.0000 0.5000
Tm: 0.0000 0.5000 0.0000
Tm: 0.5000 0.0000 0.0000
Th: 0.5000 0.5000 0.5000

=====

A relaxed YTm6Th crystal, computed with PBE.

Output
Distance to the lowest polymorph of the same formula in kJ/mol of atoms: 19.0
Formation enthalpy at 0 K in eV per formula unit: 1.85

Cell lengths 6.5257, 6.6373, 6.6622 Å; angles 60.20, 88.23, 88.02 degrees
Positions (direct):
Y: 0.0000 0.0000 0.0000
Tm: 0.2487 0.5691 0.5085
Tm: 0.2513 0.0750 0.4952
Tm: 0.2519 0.5430 0.0027
Tm: 0.7481 0.4570 0.9973
Tm: 0.7487 0.9250 0.5048
Tm: 0.7513 0.4309 0.4915
Th: 0.5000 0.0000 0.0000

=====

A relaxed Y6Tm12Th crystal, computed with PBE.

Output
Formation enthalpy at 0 K in eV per formula unit: 4.35

Cell lengths 8.6422, 8.6422, 8.6422 Å; angles 99.80, 99.80, 99.80 degrees
Positions (direct):
Y: 0.1631 0.6087 0.6087
Y: 0.3913 0.3913 0.8369
Y: 0.3913 0.8369 0.3913
Y: 0.6087 0.1631 0.6087
Y: 0.6087 0.6087 0.1631
Y: 0.8369 0.3913 0.3913
Tm: 0.0000 0.2550 0.7450
Tm: 0.0000 0.7450 0.2550
Tm: 0.1544 0.1544 0.4242
Tm: 0.1544 0.4243 0.1544
Tm: 0.2550 0.0000 0.7450
Tm: 0.2550 0.7450 0.0000
Tm: 0.4242 0.1544 0.1544
Tm: 0.5757 0.8456 0.8456
Tm: 0.7450 0.0000 0.2550
Tm: 0.7450 0.2550 0.0000
Tm: 0.8456 0.5758 0.8456
Tm: 0.8456 0.8456 0.5758
Th: 0.5000 0.5000 0.5000